# TlTc2Pt

Crystalline TlTc2Pt at its relaxed geometry (PBE, Alexandria via LeMat-Bulk).

Cell: 4.7728 4.7728 2.9368 Å, 90.00 90.00 90.00°
With the nearest neighbours (Å) after each atom.
Fractional positions:
Pt 0.0000 0.5000 0.5000  8 Tc 2.80, 2 Pt 2.94
Tc 0.0000 0.0000 0.0000  4 Tl 2.80, 4 Pt 2.80, 2 Tc 2.94
Tc 0.5000 0.5000 0.0000  4 Tl 2.80, 4 Pt 2.80, 2 Tc 2.94
Tl 0.5000 0.0000 0.5000  8 Tc 2.80, 2 Tl 2.94

DOS at the Fermi energy in states/eV per atom: 1.79
Energy of formation in meV per atom: 619
Symmetry: P4/mmm (123)